An optimized crystal structure of Cs2TlMo2O6. Source: the Alexandria database, functional PBE+U.

Cell: 7.9808 7.9808 7.9808 Å, 50.69 50.69 50.69°
Sites, in units of the cell vectors:
Cs1 0.2065 0.2065 0.2065
Cs2 0.7935 0.7935 0.7935
Tl1 0.0000 0.0000 0.0000
Mo1 0.4268 0.4268 0.4268
Mo2 0.5732 0.5732 0.5732
O1 0.2711 0.2711 0.7270
O2 0.2711 0.7270 0.2711
O3 0.2730 0.7289 0.7289
O4 0.7270 0.2711 0.2711
O5 0.7289 0.2730 0.7289
O6 0.7289 0.7289 0.2730

Computed properties:
Magnetization   1.0 μB/f.u.
Energy   -63.254 eV/f.u.